Entry 1:
Material: Li3Fe2Si2O8
Method: DFT, GGA+U
State: optimized geometry

abc: 6.6583 5.1247 10.5463
angles: 88.91 90.00 90.00
Fractional positions:
O: 0.4956 0.2168 0.4342
O: 0.3115 0.1258 0.1571
O: 0.9855 0.0679 0.3855
O: 0.7959 0.6302 0.3411
O: 0.9986 0.6830 0.5659
O: 0.5277 0.5713 0.1110
O: 0.7912 0.6424 0.8480
O: 0.2041 0.6302 0.8411
O: 0.7082 0.1090 0.1569
O: 0.2918 0.1090 0.6569
O: 0.0014 0.6830 0.0659
O: 0.4723 0.5713 0.6110
O: 0.5044 0.2168 0.9342
O: 0.6885 0.1258 0.6571
O: 0.2088 0.6424 0.3480
O: 0.0145 0.0679 0.8855
Fe: 0.2335 0.2365 0.3291
Fe: 0.7692 0.7487 0.1651
Fe: 0.7665 0.2365 0.8291
Fe: 0.2308 0.7487 0.6651
Li: 0.7479 0.2374 0.3403
Li: 0.5046 0.6395 0.9154
Li: 0.2538 0.7518 0.1640
Li: 0.4954 0.6395 0.4154
Li: 0.2521 0.2374 0.8403
Li: 0.7462 0.7518 0.6640
Si: 0.4912 0.2454 0.5885
Si: 0.5088 0.2454 0.0885
Si: 0.9990 0.7559 0.9122
Si: 0.0010 0.7559 0.4122

The calculation puts the calculated volume at 11.993 Å³/atom. As for the space group: Pc. The energy above the most stable polymorph in this dataset comes out at 20 meV/atom.

***

Entry 2:
Material: Li2CoIrO6
Method: DFT, GGA+U
State: optimized geometry

abc: 4.6337 5.2653 5.2653
angles: 90.00 90.00 90.00
Fractional positions:
O: 0.2318 0.0000 0.0000
O: 0.7300 0.7486 0.2514
O: 0.7300 0.2514 0.7486
O: 0.7300 0.2514 0.2514
O: 0.2411 0.5000 0.5000
O: 0.7300 0.7486 0.7486
Co: 0.5956 0.0000 0.0000
Li: 0.9148 0.0000 0.5000
Li: 0.9148 0.5000 0.0000
Ir: 0.6285 0.5000 0.5000

The calculation puts the calculated volume at 12.846 Å³/atom. The total energy is -5.6575 eV/atom. As for the space group: P4mm. Its density of states at the Fermi level is 3.84 states/eV/f.u.

***

Q: Which value of calculated volume does entry 1 give?
A: 11.993 Å³/atom

***

Q: What is the calculated volume in the first record?
A: 11.993 Å³/atom

***

Q: Which value of calculated volume does entry 2 give?
A: 12.846 Å³/atom